No. 1
VASP calculation (PBE-GGA) on a relaxed KLiInPb crystal.

The space group is F-43m (No. 216) and the conventional cell measures 7.7568, 7.7568 and 7.7568 Å, with angles of 90.00, 90.00 and 90.00 degrees. The inequivalent atoms are K at (0.0000, 0.0000, 0.0000), Li at (0.2500, 0.2500, 0.7500), In at (0.2500, 0.2500, 0.2500) and Pb at (0.0000, 0.0000, 0.5000).

As for the total energy: -39.01 eV per cell. The formation enthalpy at 0 K comes out at -0.074 eV per atom.

=====

No. 2
VASP calculation (PBE-GGA) on a relaxed K2LiIn12Pd3 crystal.

The space group is R-3m (No. 166, hexagonal axes) and the conventional cell measures 10.1282, 10.1282 and 19.3743 Å, with angles of 90.00, 90.00 and 120.00 degrees. The inequivalent atoms are K at (0.0000, 0.0000, 0.0968), Li at (0.0000, 0.0000, 0.5000), In at (0.0013, 0.5006, 0.1385), In at (0.0888, 0.5444, 0.3040) and Pd at (0.0000, 0.5000, 0.0000).

As for the total energy: -161.30 eV per cell. The formation enthalpy at 0 K comes out at -0.068 eV per atom.

=====

No. 3
VASP calculation (PBE-GGA) on a relaxed KLiIn2Pd crystal.

The space group is P4/mmm (No. 123) and the conventional cell measures 5.2142, 5.2142 and 5.2208 Å, with angles of 90.00, 90.00 and 90.00 degrees. The inequivalent atoms are K at (0.0000, 0.0000, 0.0000), Li at (0.5000, 0.5000, 0.0000), In at (0.0000, 0.5000, 0.5000) and Pd at (0.5000, 0.5000, 0.5000).

As for the total energy: -14.87 eV per cell. The formation enthalpy at 0 K comes out at -0.239 eV per atom.